Entry 1:
# Nd3Sn2Pd7 GGA-PBE optimized geometry
# Density ... 9.17 g/cm3
# V ... 512.3 Å³ per cell
# Crystal system ... tetragonal
# D(E_F) ... 8.4 states/eV/f.u.
# E_form ... -0.684 eV per atom
data_Nd3Sn2Pd7
_chemical_formula_sum 'Nd6 Sn4 Pd14'
_space_group_name_H-M_alt 'I 4/m m m'
_space_group_IT_number 139
_space_group_name_Hall '-I 4 2'
_cell_length_a 4.172
_cell_length_b 4.172
_cell_length_c 29.432
_cell_angle_alpha 90.00
_cell_angle_beta 90.00
_cell_angle_gamma 90.00
loop_
_atom_site_label
_atom_site_fract_x
_atom_site_fract_y
_atom_site_fract_z
Nd1 0.000 0.000 0.000
Nd2 0.000 0.000 0.179
Sn1 0.000 0.000 0.372
Pd1 0.000 0.000 0.279
Pd2 0.000 0.000 0.500
Pd3 0.000 0.500 0.073

Entry 2:
# Nd3SnPd12 GGA-PBE optimized geometry
# Density ... 10.52 g/cm3
# V ... 288.6 Å³ per cell
# Crystal system ... tetragonal
# D(E_F) ... 7.2 states/eV/f.u.
# E_form ... -0.700 eV per atom
data_Nd3SnPd12
_chemical_formula_sum 'Nd3 Sn1 Pd12'
_space_group_name_H-M_alt 'P 4/m m m'
_space_group_IT_number 123
_space_group_name_Hall '-P 4 2'
_cell_length_a 4.178
_cell_length_b 4.178
_cell_length_c 16.533
_cell_angle_alpha 90.00
_cell_angle_beta 90.00
_cell_angle_gamma 90.00
loop_
_atom_site_label
_atom_site_fract_x
_atom_site_fract_y
_atom_site_fract_z
Nd1 0.000 0.000 0.000
Nd2 0.000 0.000 0.255
Sn1 0.000 0.000 0.500
Pd1 0.000 0.500 0.128
Pd2 0.000 0.500 0.385
Pd3 0.500 0.500 0.000
Pd4 0.500 0.500 0.258
Pd5 0.500 0.500 0.500

Entry 3:
# Nd2SnPd GGA-PBE optimized geometry
# Density ... 6.45 g/cm3
# V ... 396.6 Å³ per cell
# Crystal system ... trigonal
# D(E_F) ... 3.1 states/eV/f.u.
# E_form ... -0.215 eV per atom
data_Nd2SnPd
_chemical_formula_sum 'Nd6 Sn3 Pd3'
_space_group_name_H-M_alt 'R -3 m'
_space_group_IT_number 166
_space_group_name_Hall '-R 3 2"'
_cell_length_a 3.9027
_cell_length_b 3.9027
_cell_length_c 30.0702
_cell_angle_alpha 90.00
_cell_angle_beta 90.00
_cell_angle_gamma 120.00
loop_
_atom_site_label
_atom_site_fract_x
_atom_site_fract_y
_atom_site_fract_z
Nd1 0.0000 0.0000 0.1063
Sn1 0.0000 0.0000 0.0000
Pd1 0.0000 0.0000 0.5000

Entry 4:
# NdSn6Pd6 GGA-PBE optimized geometry
# Density ... 9.52 g/cm3
# V ... 260.8 Å³ per cell
# Crystal system ... hexagonal
# D(E_F) ... 5.7 states/eV/f.u.
# E_form ... -0.575 eV per atom
data_NdSn6Pd6
_chemical_formula_sum 'Nd1 Sn6 Pd6'
_space_group_name_H-M_alt 'P 6/m m m'
_space_group_IT_number 191
_space_group_name_Hall '-P 6 2'
_cell_length_a 5.8015
_cell_length_b 5.8015
_cell_length_c 8.9490
_cell_angle_alpha 90.00
_cell_angle_beta 90.00
_cell_angle_gamma 120.00
loop_
_atom_site_label
_atom_site_fract_x
_atom_site_fract_y
_atom_site_fract_z
Nd1 0.0000 0.0000 0.0000
Sn1 0.0000 0.0000 0.3404
Sn2 0.3333 0.6667 0.0000
Sn3 0.3333 0.6667 0.5000
Pd1 0.0000 0.5000 0.2491